(1)
DFT (PBE-GGA) results for a relaxed structure of CaNdZn.

POSCAR file:
```
CaNdZn
1.0
-3.034 -4.045 -0.789
1.910 -4.261 -2.094
0.566 -4.217 2.844
Ca Zn Nd
1 1 1
direct
0.500 0.500 0.500
0.250 0.250 0.250
0.000 0.000 0.000
```

Results
Total energy: -8.1 eV for the cell shown
Energy relative to the elements: -0.4 kJ/mol of atoms
Symmetry: F-43m

=====

(2)
DFT (PBE-GGA) results for a relaxed structure of LaNdRhBr.

POSCAR file:
```
LaNdRhBr
1.0
-2.080 -3.398 1.091
2.724 1.682 2.611
-5.325 6.259 1.523
Br Rh Nd La
1 1 1 1
direct
0.963 0.380 0.358
0.304 0.550 0.869
0.102 0.949 0.066
0.509 0.152 0.677
```

Results
Total energy: -23.2 eV for the cell shown
Raw formation energy: -1.12 eV/atom
Symmetry: R3m

=====

(3)
DFT (PBE-GGA) results for a relaxed structure of RbNa2InNi.

POSCAR file:
```
RbNa2InNi
1.0
5.672 0.000 0.000
0.000 5.672 0.000
0.000 0.000 5.011
Na Ni In Rb
2 1 1 1
direct
0.000 0.500 0.000
0.500 0.000 0.000
0.000 0.000 0.000
0.000 0.000 0.500
0.500 0.500 0.500
```

Results
Total energy: -11.5 eV for the cell shown
Energy relative to the elements: 11.6 kJ/mol of atoms
Symmetry: P4/mmm

=====

(4)
DFT (PBE-GGA) results for a relaxed structure of Ag3HgF2.

POSCAR file:
```
Ag3HgF2
1.0
-1.136 -1.746 -2.298
6.151 3.338 -5.576
4.593 -6.347 2.552
Ag F Hg
6 4 2
direct
0.250 0.849 0.267
0.250 0.242 0.465
0.250 0.709 0.832
0.750 0.758 0.535
0.750 0.151 0.733
0.750 0.291 0.168
0.750 0.773 0.042
0.250 0.940 0.689
0.250 0.227 0.958
0.750 0.060 0.311
0.750 0.459 0.691
0.250 0.541 0.309
```

Results
Total energy: -33.2 eV for the cell shown
Raw formation energy: -0.67 eV/atom
Symmetry: P2_1/m

=====

(5)
DFT (PBE-GGA) results for a relaxed structure of RbIF6.

POSCAR file:
```
RbIF6
1.0
5.805 0.000 0.000
2.903 5.028 0.000
2.903 1.676 5.428
F I Rb
6 1 1
direct
0.089 0.089 0.218
0.604 0.089 0.218
0.911 0.911 0.782
0.089 0.604 0.218
0.911 0.396 0.782
0.396 0.911 0.782
0.000 0.000 0.000
0.500 0.500 0.500
```

Results
Total energy: -29.3 eV for the cell shown
Raw formation energy: -1.94 eV/atom
Symmetry: R-3m

=====

(6)
DFT (PBE-GGA) results for a relaxed structure of ScPaPd2.

POSCAR file:
```
ScPaPd2
1.0
-0.513 0.662 -3.135
0.991 -2.987 -0.793
-6.962 -2.474 0.616
Pd Pa Sc
2 1 1
direct
0.000 0.000 0.778
0.000 0.000 0.222
0.500 0.500 0.500
0.500 0.500 0.000
```

Results
Total energy: -28.8 eV for the cell shown
Energy relative to the elements: -61.6 kJ/mol of atoms
Symmetry: P4/mmm

=====

(7)
DFT (PBE-GGA) results for a relaxed structure of YHfTe.

POSCAR file:
```
YHfTe
1.0
-1.174 -3.467 -0.573
1.505 1.929 -2.781
12.253 -4.707 3.366
Hf Y Te
2 2 2
direct
0.611 0.222 0.000
0.278 0.555 0.500
0.278 0.556 0.188
0.278 0.556 0.812
0.611 0.222 0.643
0.611 0.222 0.357
```

Results
Total energy: -42.2 eV for the cell shown
Raw formation energy: -0.51 eV/atom
Symmetry: P-6m2

=====

(8)
DFT (PBE-GGA) results for a relaxed structure of TbSm4Th2.

POSCAR file:
```
TbSm4Th2
1.0
5.102 0.000 0.000
0.000 10.759 -2.544
0.000 -1.138 4.810
Tb Th Sm
1 2 4
direct
0.000 0.000 0.000
0.500 0.000 0.500
0.000 0.500 0.500
0.000 0.749 0.249
0.500 0.257 0.258
0.000 0.251 0.751
0.500 0.743 0.742
```

Results
Total energy: -35.9 eV for the cell shown
Energy relative to the elements: 34.2 kJ/mol of atoms
Symmetry: P2/m

=====

(9)
DFT (PBE-GGA) results for a relaxed structure of Th2MnGa12.

POSCAR file:
```
Th2MnGa12
1.0
6.103 0.000 0.000
0.000 6.103 0.000
0.000 0.000 15.608
Th Ga Mn
4 24 2
direct
0.500 0.000 0.757
0.000 0.500 0.757
0.500 0.000 0.243
0.000 0.500 0.243
0.831 0.669 0.430
0.000 0.000 0.655
0.750 0.750 0.088
0.831 0.331 0.570
0.669 0.169 0.430
0.000 0.000 0.345
0.331 0.831 0.430
0.000 0.000 0.812
0.250 0.250 0.912
0.500 0.500 0.345
0.750 0.250 0.088
0.250 0.750 0.912
0.169 0.331 0.430
0.169 0.669 0.570
0.250 0.750 0.088
0.250 0.250 0.088
0.500 0.500 0.188
0.331 0.169 0.570
0.500 0.500 0.655
0.500 0.500 0.812
0.669 0.831 0.570
0.000 0.000 0.188
0.750 0.250 0.912
0.750 0.750 0.912
0.500 0.000 0.000
0.000 0.500 0.000
```

Results
Total energy: -129.4 eV for the cell shown
Energy relative to the elements: -28.2 kJ/mol of atoms
Symmetry: P4/nbm

=====

(10)
DFT (PBE-GGA) results for a relaxed structure of KCoNi2.

POSCAR file:
```
KCoNi2
1.0
2.943 0.000 0.000
0.000 2.943 0.000
0.000 0.000 7.722
Ni K Co
2 1 1
direct
0.000 0.000 0.085
0.500 0.500 0.256
0.500 0.500 0.753
0.000 0.000 0.405
```

Results
Total energy: -17.3 eV for the cell shown
Energy relative to the elements: 60.1 kJ/mol of atoms
Symmetry: P4mm

=====

(11)
DFT (PBE-GGA) results for a relaxed structure of Rb4Y3RuO8.

POSCAR file:
```
Rb4Y3RuO8
1.0
6.873 0.000 0.000
0.000 7.603 0.494
-3.437 -3.424 4.869
O Y Rb Ru
8 3 4 1
direct
0.219 0.675 0.438
0.262 0.325 0.043
0.781 0.325 0.562
0.781 0.325 0.043
0.738 0.675 0.957
0.219 0.675 0.957
0.274 0.323 0.549
0.726 0.677 0.451
0.500 0.500 0.000
0.500 0.500 0.500
0.000 0.500 0.500
0.000 0.000 0.500
0.500 0.000 0.000
0.500 0.000 0.500
0.000 0.000 0.000
0.000 0.500 0.000
```

Results
Total energy: -107.0 eV for the cell shown
Raw formation energy: -2.17 eV/atom
Symmetry: R-3m

=====

(12)
DFT (PBE-GGA) results for a relaxed structure of RbIr.

POSCAR file:
```
RbIr
1.0
-4.666 -2.323 -3.249
8.269 -12.845 -2.690
-3.453 -3.835 7.701
Rb Ir
16 16
direct
0.000 0.500 0.164
0.500 0.000 0.164
0.500 0.500 0.336
0.500 0.500 0.664
0.000 0.000 0.336
0.000 0.500 0.836
0.000 0.000 0.664
0.500 0.000 0.836
0.250 0.750 0.914
0.250 0.250 0.086
0.750 0.750 0.086
0.750 0.250 0.586
0.250 0.250 0.414
0.750 0.250 0.914
0.750 0.750 0.414
0.250 0.750 0.586
0.750 0.326 0.250
0.000 0.424 0.500
0.500 0.424 0.000
0.750 0.174 0.250
0.500 0.076 0.500
0.000 0.076 0.000
0.500 0.924 0.500
0.500 0.576 0.000
0.750 0.674 0.750
0.000 0.576 0.500
0.750 0.826 0.750
0.250 0.674 0.250
0.250 0.174 0.750
0.250 0.826 0.250
0.250 0.326 0.750
0.000 0.924 0.000
```

Results
Total energy: -124.7 eV for the cell shown
Energy relative to the elements: 98.3 kJ/mol of atoms
Symmetry: Fddd

=====

(13)
DFT (PBE-GGA) results for a relaxed structure of Ba2NiAu.

POSCAR file:
```
Ba2NiAu
1.0
-0.389 3.794 -2.534
-2.537 3.504 1.502
5.225 5.413 3.170
Ba Ni Au
2 1 1
direct
0.993 0.993 0.022
0.507 0.507 0.478
0.250 0.250 0.250
0.750 0.750 0.750
```

Results
Total energy: -13.7 eV for the cell shown
Energy relative to the elements: -18.8 kJ/mol of atoms
Symmetry: R-3m

=====

(14)
DFT (PBE-GGA) results for a relaxed structure of Mn5Co.

POSCAR file:
```
Mn5Co
1.0
-1.736 -1.799 -0.284
0.401 -0.760 2.364
-7.434 6.638 3.396
Mn Co
5 1
direct
0.500 0.500 0.667
0.000 0.000 0.164
0.500 0.500 0.333
0.000 0.000 0.500
0.000 0.000 0.836
0.500 0.500 0.000
```

Results
Total energy: -52.6 eV for the cell shown
Energy relative to the elements: 5.4 kJ/mol of atoms
Symmetry: P4/mmm

=====

(15)
DFT (PBE-GGA) results for a relaxed structure of Rb3IrPd3O8.

POSCAR file:
```
Rb3IrPd3O8
1.0
6.248 0.000 0.000
-3.124 6.430 0.510
0.000 -3.734 5.909
Rb O Pd Ir
3 8 3 1
direct
0.500 0.500 0.000
0.000 0.500 0.000
0.000 0.000 0.000
0.733 0.955 0.303
0.174 0.348 0.589
0.778 0.045 0.697
0.826 0.652 0.411
0.267 0.045 0.697
0.222 0.955 0.303
0.686 0.371 0.605
0.314 0.629 0.395
0.500 0.500 0.500
0.500 0.000 0.500
0.000 0.500 0.500
0.000 0.000 0.500
```

Results
Total energy: -79.1 eV for the cell shown
Raw formation energy: -0.80 eV/atom
Symmetry: C2/m

=====

(16)
DFT (PBE-GGA) results for a relaxed structure of MgCrTe.

POSCAR file:
```
MgCrTe
1.0
-0.294 -3.439 2.517
3.772 0.964 1.757
-3.053 3.610 4.577
Te Cr Mg
2 2 2
direct
0.000 0.500 0.237
0.500 0.000 0.763
0.000 0.000 0.500
0.500 0.500 0.500
0.500 0.000 0.210
0.000 0.500 0.790
```

Results
Total energy: -28.7 eV for the cell shown
Raw formation energy: 0.01 eV/atom
Symmetry: P4/nmm

=====

(17)
DFT (PBE-GGA) results for a relaxed structure of PrSm3Tl3.

POSCAR file:
```
PrSm3Tl3
1.0
-3.392 1.980 -8.719
-8.439 -3.790 2.422
-2.954 8.553 3.092
Sm Tl Pr
12 12 4
direct
0.177 0.177 0.177
0.322 0.178 0.822
0.076 0.424 0.576
0.924 0.924 0.924
0.822 0.322 0.178
0.424 0.576 0.076
0.823 0.677 0.323
0.677 0.323 0.823
0.323 0.823 0.677
0.178 0.822 0.322
0.576 0.076 0.424
0.678 0.678 0.678
0.501 0.753 0.379
0.253 0.121 0.499
0.001 0.747 0.621
0.247 0.879 0.999
0.121 0.499 0.253
0.999 0.247 0.879
0.879 0.999 0.247
0.379 0.501 0.753
0.621 0.001 0.747
0.747 0.621 0.001
0.753 0.379 0.501
0.499 0.253 0.121
0.574 0.926 0.074
0.426 0.426 0.426
0.926 0.074 0.574
0.074 0.574 0.926
```

Results
Total energy: -112.0 eV for the cell shown
Energy relative to the elements: -27.0 kJ/mol of atoms
Symmetry: P2_13

=====

(18)
DFT (PBE-GGA) results for a relaxed structure of Ba2HfZr2.

POSCAR file:
```
Ba2HfZr2
1.0
7.518 0.000 0.000
0.000 7.518 0.000
0.000 0.000 5.950
Zr Ba Hf
4 4 2
direct
0.149 0.351 0.000
0.851 0.649 0.000
0.649 0.149 0.000
0.351 0.851 0.000
0.672 0.828 0.500
0.328 0.172 0.500
0.828 0.328 0.500
0.172 0.672 0.500
0.500 0.500 0.000
0.000 0.000 0.000
```

Results
Total energy: -54.0 eV for the cell shown
Energy relative to the elements: 75.6 kJ/mol of atoms
Symmetry: P4/mbm

=====

(19)
DFT (PBE-GGA) results for a relaxed structure of NaLiPb5.

POSCAR file:
```
NaLiPb5
1.0
-1.812 0.020 -4.658
-3.450 -3.363 1.328
-5.041 5.956 1.986
Pb Na Li
5 1 1
direct
0.000 0.500 0.294
0.500 0.000 0.294
0.500 0.500 0.000
0.500 0.000 0.706
0.000 0.500 0.706
0.000 0.000 0.000
0.000 0.000 0.500
```

Results
Total energy: -22.5 eV for the cell shown
Energy relative to the elements: -10.2 kJ/mol of atoms
Symmetry: P4/mmm

=====

(20)
DFT (PBE-GGA) results for a relaxed structure of Tl2CuSi.

POSCAR file:
```
Tl2CuSi
1.0
-2.018 -0.794 -2.434
-2.350 -0.669 2.157
-2.732 8.234 -0.422
Si Cu Tl
1 1 2
direct
0.500 0.500 0.675
0.000 0.000 0.574
0.000 0.000 0.941
0.500 0.500 0.309
```

Results
Total energy: -13.3 eV for the cell shown
Raw formation energy: 0.23 eV/atom
Symmetry: Cmm2